(1)
Material: KScTc2
Method: DFT, PBE-GGA
State: relaxed

Results
The calculation puts the calculated volume at 23.5 A^3/atom.

Cell and atoms, written as CIF:
```
data_KScTc2
_chemical_formula_sum 'K1 Sc1 Tc2'
_cell_length_a 3.1242
_cell_length_b 3.1242
_cell_length_c 9.6131
_cell_angle_alpha 90.00
_cell_angle_beta 90.00
_cell_angle_gamma 90.00
_symmetry_space_group_name_H-M 'P 4 m m'
_symmetry_Int_Tables_number 99
loop_
_symmetry_equiv_pos_as_xyz
'x,y,z'
'-y,x,z'
'-x,-y,z'
'y,-x,z'
'-x,y,z'
'y,x,z'
'x,-y,z'
'-y,-x,z'
loop_
_atom_site_label
_atom_site_fract_x
_atom_site_fract_y
_atom_site_fract_z
K1 0.0000 0.0000 0.0000
Sc1 0.5000 0.5000 0.3855
Tc1 0.0000 0.0000 0.5732
Tc2 0.5000 0.5000 0.7078
```

***

(2)
Material: KSc2Tc
Method: DFT, PBE-GGA
State: relaxed

Results
The calculation puts the calculated volume at 22.5 A^3/atom.

Cell and atoms, written as CIF:
```
data_KSc2Tc
_chemical_formula_sum 'K2 Sc4 Tc2'
_cell_length_a 4.3702
_cell_length_b 4.3702
_cell_length_c 9.4070
_cell_angle_alpha 90.00
_cell_angle_beta 90.00
_cell_angle_gamma 90.00
_symmetry_space_group_name_H-M 'I -4 m 2'
_symmetry_Int_Tables_number 119
_symmetry_space_group_name_Hall 'I -4 -2'
loop_
_atom_site_label
_atom_site_fract_x
_atom_site_fract_y
_atom_site_fract_z
K1 0.0000 0.0000 0.0000
Sc1 0.0000 0.0000 0.5000
Sc2 0.0000 0.5000 0.7500
Tc1 0.0000 0.5000 0.2500
```

***

Computed DFT formation energy (eV/atom) in order:
0.378, 0.890